# 1
This record from the Alexandria database describes an optimized crystal structure of RbNa2Sn9. The functional is PBE.

Output
Symmetry: R-3m (166)
DOS(E_F), states/eV/cell: 4.49
Calculated formation energy, eV/atom: -0.10

Lattice parameters (Å, degrees): 6.6550 6.6550 10.5561 71.63 71.63 60.00
Atoms (fractional coordinates):
1 Rb 0.0000 0.0000 0.0000
2 Na 0.8611 0.8611 0.4167
3 Na 0.1389 0.1389 0.5833
4 Sn 0.6572 0.6572 0.0283
5 Sn 0.3428 0.3428 0.9717
6 Sn 0.5000 0.5000 0.5000
7 Sn 0.4009 0.4009 0.2622
8 Sn 0.9360 0.4009 0.2622
9 Sn 0.4009 0.9360 0.2622
10 Sn 0.5991 0.5991 0.7378
11 Sn 0.5991 0.0640 0.7378
12 Sn 0.0640 0.5991 0.7378

# 2
This record from the Alexandria database describes an optimized crystal structure of PaTiPd6. The functional is PBE.

Output
Symmetry: P-6m2 (187)
DOS(E_F), states/eV/cell: 4.24
Calculated formation energy, eV/atom: -0.71

Lattice parameters (Å, degrees): 4.7825 5.6592 5.6594 120.00 89.96 90.00
Atoms (fractional coordinates):
1 Pa 0.0000 0.9167 0.8333
2 Ti 0.5000 0.5833 0.1667
3 Pd 0.0001 0.9123 0.3311
4 Pd 0.0001 0.4189 0.3311
5 Pd 0.9999 0.4189 0.8377
6 Pd 0.5000 0.5775 0.6637
7 Pd 0.5000 0.0863 0.6637
8 Pd 0.4999 0.0863 0.1725

# 3
This record from the Alexandria database describes an optimized crystal structure of Rb3Tm2CrTe6. The functional is PBE.

Output
Uncorrected formation energy, kJ/mol of atoms: -101.37
Symmetry: C2/m (12)

Lattice parameters (Å, degrees): 7.5997 7.5997 8.8688 98.25 98.25 120.03
Atoms (fractional coordinates):
1 Rb 0.1729 0.8271 0.5000
2 Rb 0.8271 0.1729 0.5000
3 Rb 0.5000 0.5000 0.5000
4 Tm 0.3341 0.6659 0.0000
5 Tm 0.6659 0.3341 0.0000
6 Cr 0.0000 0.0000 0.0000
7 Te 0.9376 0.6262 0.8122
8 Te 0.7529 0.7529 0.1902
9 Te 0.0624 0.3738 0.1878
10 Te 0.6262 0.9376 0.8122
11 Te 0.2471 0.2471 0.8098
12 Te 0.3738 0.0624 0.1878